1.
The following is a PBE calculation of a geometry-optimized Be2Ag2Ge structure, from the Alexandria database.

Cell lengths 6.0414, 6.0414, 3.8876 Å; angles 90.00, 90.00, 90.00 degrees
With the nearest neighbours (Å) after each atom.
Space group P4/mbm (No. 127)
Unique sites:
Be: 0.1322 0.3678 0.0000  1 Be 2.26, 2 Ge 2.36
Ag: 0.1625 0.6625 0.5000  6 Be 2.62-2.64, 1 Ag 2.78
Ge: 0.0000 0.0000 0.0000  4 Be 2.36

Summary:
E_form ... 0.236 eV per atom



2.
The following is a PBE calculation of a geometry-optimized Ca2CdIr structure, from the Alexandria database.

Cell lengths 7.0878, 7.0878, 7.0878 Å; angles 90.00, 90.00, 90.00 degrees
With the nearest neighbours (Å) after each atom.
Space group F-43m (No. 216)
Unique sites:
Ca: 0.0000 0.0000 0.0000  4 Ir 3.07, 4 Ca 3.07
Ca: 0.2500 0.2500 0.2500  4 Cd 3.07, 4 Ca 3.07
Cd: 0.0000 0.0000 0.5000  4 Ca 3.07, 4 Ir 3.07
Ir: 0.2500 0.2500 0.7500  4 Cd 3.07, 4 Ca 3.07

Summary:
E_form ... -0.093 eV per atom



3.
The following is a PBE calculation of a geometry-optimized Ti3FeBr structure, from the Alexandria database.

Cell lengths 4.5673, 4.5673, 4.5673 Å; angles 90.00, 90.00, 90.00 degrees
With the nearest neighbours (Å) after each atom.
Space group Pm-3m (No. 221)
Unique sites:
Ti: 0.0000 0.0000 0.5000  2 Br 2.28
Fe: 0.5000 0.5000 0.5000  12 Ti 3.23
Br: 0.0000 0.0000 0.0000  6 Ti 2.28

Summary:
Raw formation energy ... 0.933 eV per atom



4.
The following is a PBE calculation of a geometry-optimized AgBi3 structure, from the Alexandria database.

Cell lengths 4.8665, 4.8665, 4.8665 Å; angles 90.00, 90.00, 90.00 degrees
With the nearest neighbours (Å) after each atom.
Space group Pm-3m (No. 221)
Unique sites:
Ag: 0.0000 0.0000 0.0000  12 Bi 3.44
Bi: 0.0000 0.5000 0.5000  8 Bi 3.44, 4 Ag 3.44

Summary:
E_form ... 0.198 eV per atom



5.
The following is a PBE calculation of a geometry-optimized Rb2CaI6N structure, from the Alexandria database.

Cell lengths 7.9648, 7.9648, 13.4858 Å; angles 90.00, 90.00, 90.00 degrees
With the nearest neighbours (Å) after each atom.
Space group I4/mmm (No. 139)
Unique sites:
Rb: 0.0000 0.5000 0.2500  12 I 4.00-4.41
Ca: 0.0000 0.0000 0.0000  6 I 3.04-3.15
I: 0.0000 0.0000 0.2254  1 Ca 3.04
I: 0.2205 0.2205 0.5000  1 N 2.48
N: 0.0000 0.0000 0.5000  4 I 2.48

Summary:
Raw formation energy ... -0.547 eV per atom



6.
The following is a PBE calculation of a geometry-optimized CeBe structure, from the Alexandria database.

Cell lengths 4.5227, 3.9647, 4.5324 Å; angles 90.00, 110.64, 90.00 degrees
With the nearest neighbours (Å) after each atom.
Space group P2_1/m (No. 11)
Unique sites:
Ce: 0.1443 0.2500 0.3553  3 Be 2.74-2.78, 2 Ce 2.93
Be: 0.4825 0.7500 0.0194  2 Be 2.00

Summary:
E_form ... 0.114 eV per atom



7.
The following is a PBE calculation of a geometry-optimized BaPb2I2O2 structure, from the Alexandria database.

Cell lengths 14.4434, 4.2147, 9.3981 Å; angles 90.00, 126.86, 90.00 degrees
With the nearest neighbours (Å) after each atom.
Space group C2/m (No. 12)
Unique sites:
Ba: 0.0000 0.0000 0.0000  2 O 2.64
Pb: 0.1856 0.0000 0.8065  3 O 2.26-2.47
I: 0.0659 0.5000 0.3397  2 Ba 3.45, 2 Pb 3.68
O: 0.2048 0.0000 0.0633  3 Pb 2.26-2.47

Summary:
Raw formation energy ... -1.370 eV per atom



8.
The following is a PBE calculation of a geometry-optimized SmTh3C3 structure, from the Alexandria database.

Cell lengths 10.5425, 10.6077, 5.3565 Å; angles 90.00, 90.00, 90.00 degrees
With the nearest neighbours (Å) after each atom.
Space group Cmcm (No. 63)
Unique sites:
Sm: 0.0000 0.1363 0.2500  3 C 2.58-2.65
Th: 0.0000 0.3802 0.7500  5 C 2.55-2.68
Th: 0.2464 0.3750 0.2500  5 C 2.60-2.68
C: 0.0000 0.3791 0.2500  5 Th 2.55-2.68, 1 Sm 2.58
C: 0.2490 0.3731 0.7500  5 Th 2.63-2.68, 1 Sm 2.65

Summary:
E_form ... -0.230 eV per atom



9.
The following is a PBE calculation of a geometry-optimized NaNbAlV2 structure, from the Alexandria database.

Cell lengths 4.6155, 4.6155, 4.5050 Å; angles 90.00, 90.00, 90.00 degrees
With the nearest neighbours (Å) after each atom.
Space group P4/mmm (No. 123)
Unique sites:
Na: 0.0000 0.0000 0.0000  2 Al 2.25
Nb: 0.5000 0.5000 0.0000  8 V 3.22, 4 Na 3.26
Al: 0.0000 0.0000 0.5000  2 Na 2.25, 4 V 2.31
V: 0.0000 0.5000 0.5000  2 Al 2.31

Summary:
E_form ... 1.500 eV per atom



10.
The following is a PBE calculation of a geometry-optimized ScV5Tc6 structure, from the Alexandria database.

Cell lengths 4.3124, 6.1257, 12.9927 Å; angles 90.00, 90.00, 90.00 degrees
With the nearest neighbours (Å) after each atom.
Space group Immm (No. 71)
Unique sites:
Sc: 0.0000 0.0000 0.0000  8 Tc 2.68-2.71
V: 0.0000 0.0000 0.3343  8 Tc 2.61-2.64
V: 0.0000 0.5000 0.0000  8 Tc 2.61-2.68
V: 0.0000 0.5000 0.3306  8 Tc 2.56-2.72
Tc: 0.0000 0.2403 0.5000  6 V 2.61-2.72, 2 Sc 2.68
Tc: 0.0000 0.2548 0.1707  7 V 2.56-2.68, 1 Sc 2.71

Summary:
E_form ... -0.319 eV per atom



11.
The following is a PBE calculation of a geometry-optimized Zr2GaTcCl structure, from the Alexandria database.

Cell lengths 4.7132, 4.7132, 4.6644 Å; angles 90.00, 90.00, 90.00 degrees
With the nearest neighbours (Å) after each atom.
Space group P4/mmm (No. 123)
Unique sites:
Zr: 0.0000 0.5000 0.0000  2 Cl 2.36
Ga: 0.0000 0.0000 0.5000  2 Cl 2.33
Tc: 0.5000 0.5000 0.5000  8 Zr 3.32, 4 Ga 3.33
Cl: 0.0000 0.0000 0.0000  2 Ga 2.33, 4 Zr 2.36

Summary:
Raw formation energy ... 0.561 eV per atom



12.
The following is a PBE calculation of a geometry-optimized Ba2NbTl structure, from the Alexandria database.

Cell lengths 8.4160, 8.4160, 8.4160 Å; angles 90.00, 90.00, 90.00 degrees
With the nearest neighbours (Å) after each atom.
Space group Fm-3m (No. 225)
Unique sites:
Ba: 0.2500 0.2500 0.2500  4 Tl 3.64, 4 Nb 3.64
Nb: 0.0000 0.0000 0.0000  8 Ba 3.64
Tl: 0.0000 0.0000 0.5000  8 Ba 3.64

Summary:
E_form ... 0.538 eV per atom



13.
The following is a PBE calculation of a geometry-optimized Pr3PdRu structure, from the Alexandria database.

Cell lengths 8.9326, 7.5171, 8.5701 Å; angles 90.00, 107.58, 90.00 degrees
With the nearest neighbours (Å) after each atom.
Space group P2_1/c (No. 14)
Unique sites:
Pr: 0.0422 0.0090 0.2147  4 Ru 2.86-3.15, 1 Pd 3.15
Pr: 0.2764 0.6548 0.1045  2 Ru 2.94-3.12, 3 Pd 3.00-3.15
Pr: 0.3518 0.1855 0.9971  1 Ru 2.80, 2 Pd 3.07-3.13
Pd: 0.4099 0.5343 0.8203  7 Pr 3.00-3.15, 1 Pd 3.06
Ru: 0.0667 0.1849 0.5251  6 Pr 2.80-3.12, 1 Ru 3.00

Summary:
E_form ... -0.391 eV per atom



14.
The following is a PBE calculation of a geometry-optimized GaC structure, from the Alexandria database.

Cell lengths 4.6933, 4.6933, 4.6933 Å; angles 90.00, 90.00, 90.00 degrees
With the nearest neighbours (Å) after each atom.
Space group F-43m (No. 216)
Unique sites:
Ga: 0.0000 0.0000 0.0000  4 C 2.03
C: 0.2500 0.2500 0.2500  4 Ga 2.03

Summary:
E_form ... 0.978 eV per atom



15.
The following is a PBE calculation of a geometry-optimized SrCa3In structure, from the Alexandria database.

Cell lengths 6.3002, 6.3002, 6.3002 Å; angles 90.00, 90.00, 90.00 degrees
With the nearest neighbours (Å) after each atom.
Space group Pm-3m (No. 221)
Unique sites:
Sr: 0.0000 0.0000 0.0000  6 Ca 3.15
Ca: 0.0000 0.0000 0.5000  2 Sr 3.15
In: 0.5000 0.5000 0.5000  12 Ca 4.45

Summary:
E_form ... 0.898 eV per atom



16.
The following is a PBE calculation of a geometry-optimized MgMnBr6 structure, from the Alexandria database.

Cell lengths 6.5651, 6.5651, 17.4340 Å; angles 90.00, 90.00, 120.00 degrees
With the nearest neighbours (Å) after each atom.
Space group R-3 (No. 148, hexagonal axes)
Unique sites:
Mg: 0.0000 0.0000 0.0000  6 Br 2.71
Mn: 0.0000 0.0000 0.5000  6 Br 2.48
Br: 0.0010 0.3108 0.5807  1 Mn 2.48, 1 Mg 2.71

Summary:
Raw formation energy ... -0.765 eV per atom



17.
The following is a PBE calculation of a geometry-optimized AcSe2Br3O6 structure, from the Alexandria database.

Cell lengths 7.0432, 7.0432, 6.2764 Å; angles 90.00, 90.00, 120.00 degrees
With the nearest neighbours (Å) after each atom.
Space group P-3m1 (No. 164)
Unique sites:
Ac: 0.0000 0.0000 0.0000  6 O 2.60
Se: 0.3333 0.6667 0.8040  3 O 1.65
Br: 0.0000 0.0000 0.5000  2 Ac 3.14, 6 O 3.45
Br: 0.3333 0.6667 0.4288  1 Se 2.35
O: 0.2041 0.4082 0.8797  1 Se 1.65

Summary:
Raw formation energy ... -1.050 eV per atom



18.
The following is a PBE calculation of a geometry-optimized BaMo2P2 structure, from the Alexandria database.

Cell lengths 4.8303, 4.8303, 8.7583 Å; angles 90.00, 90.00, 90.00 degrees
With the nearest neighbours (Å) after each atom.
Space group I4/mmm (No. 139)
Unique sites:
Ba: 0.0000 0.0000 0.0000  8 P 3.26, 10 Mo 3.27-3.59
Mo: 0.0000 0.0000 0.3729  1 Mo 2.23
P: 0.0000 0.5000 0.2500  4 Mo 2.64

Summary:
E_form ... -0.247 eV per atom



19.
The following is a PBE calculation of a geometry-optimized Ce2TcS structure, from the Alexandria database.

Cell lengths 3.9613, 3.9613, 20.7262 Å; angles 90.00, 90.00, 120.00 degrees
With the nearest neighbours (Å) after each atom.
Space group R-3m (No. 166, hexagonal axes)
Unique sites:
Ce: 0.0000 0.0000 0.2450  3 Tc 2.80, 3 S 2.93
Tc: 0.0000 0.0000 0.5000  6 Ce 2.80
S: 0.0000 0.0000 0.0000  6 Ce 2.93

Summary:
Raw formation energy ... -0.810 eV per atom



20.
The following is a PBE calculation of a geometry-optimized SrHg2S structure, from the Alexandria database.

Cell lengths 4.2349, 4.2349, 27.6834 Å; angles 90.00, 90.00, 120.00 degrees
With the nearest neighbours (Å) after each atom.
Space group R-3m (No. 166, hexagonal axes)
Unique sites:
Sr: 0.0000 0.0000 0.0000  2 Hg 3.17
Hg: 0.0000 0.0000 0.1144  3 S 2.84, 1 Sr 3.17
S: 0.0000 0.0000 0.5000  6 Hg 2.84

Summary:
Raw formation energy ... 0.036 eV per atom



21.
The following is a PBE calculation of a geometry-optimized Cs3CdGe2O6 structure, from the Alexandria database.

Cell lengths 6.3295, 6.3295, 7.8778 Å; angles 90.00, 90.00, 120.00 degrees
With the nearest neighbours (Å) after each atom.
Space group P-3m1 (No. 164)
Unique sites:
Cs: 0.0000 0.0000 0.0000  6 O 3.11
Cs: 0.3333 0.6667 0.7220  6 O 3.18, 1 Ge 3.45
Cd: 0.0000 0.0000 0.5000  6 O 2.43
Ge: 0.3333 0.6667 0.2834  3 O 1.75
O: 0.1752 0.3504 0.3113  1 Ge 1.75

Summary:
Raw formation energy ... -1.369 eV per atom



22.
The following is a PBE calculation of a geometry-optimized Zn2OsRh structure, from the Alexandria database.

Cell lengths 2.7395, 4.7002, 9.0378 Å; angles 90.00, 90.00, 90.00 degrees
With the nearest neighbours (Å) after each atom.
Space group Cmm2 (No. 35)
Unique sites:
Zn: 0.0000 0.0000 0.0000  2 Rh 2.59, 8 Zn 2.68-2.74
Zn: 0.0000 0.5000 0.2547  2 Os 2.65, 8 Zn 2.68-2.74
Os: 0.0000 0.0000 0.5057  2 Zn 2.65, 2 Rh 2.65, 6 Os 2.72-2.74
Rh: 0.0000 0.5000 0.7568  2 Zn 2.59, 2 Os 2.65, 6 Rh 2.72-2.74

Summary:
E_form ... 0.152 eV per atom



23.
The following is a PBE calculation of a geometry-optimized ZnTcIN2 structure, from the Alexandria database.

Cell lengths 3.9028, 3.9028, 5.8030 Å; angles 90.00, 90.00, 90.00 degrees
With the nearest neighbours (Å) after each atom.
Space group P4/mmm (No. 123)
Unique sites:
Zn: 0.0000 0.0000 0.0000  4 I 2.76
Tc: 0.5000 0.5000 0.5000  4 N 1.95
I: 0.5000 0.5000 0.0000  4 Zn 2.76, 2 Tc 2.90
N: 0.0000 0.5000 0.5000  2 Tc 1.95

Summary:
Raw formation energy ... 0.678 eV per atom



24.
The following is a PBE calculation of a geometry-optimized Cs2KHgBr4 structure, from the Alexandria database.

Cell lengths 6.6544, 16.6302, 27.1353 Å; angles 90.00, 90.00, 90.00 degrees
With the nearest neighbours (Å) after each atom.
Space group Fddd (No. 70, origin choice 2)
Unique sites:
Cs: 0.1250 0.1250 0.3109  6 Br 3.80-3.94
K: 0.1250 0.1250 0.1250  4 Br 3.11, 2 Hg 3.33
Hg: 0.1250 0.1250 0.6250  4 Br 3.06, 2 K 3.33
Br: 0.1178 0.0036 0.4296  1 Hg 3.06, 1 K 3.11

Summary:
Raw formation energy ... -1.228 eV per atom



25.
The following is a PBE calculation of a geometry-optimized FeAs2Cl structure, from the Alexandria database.

Cell lengths 4.9821, 4.9821, 2.8300 Å; angles 90.00, 90.00, 90.00 degrees
With the nearest neighbours (Å) after each atom.
Space group P4/mmm (No. 123)
Unique sites:
Fe: 0.0000 0.0000 0.0000  2 Fe 2.83, 8 As 2.86
As: 0.0000 0.5000 0.5000  2 As 2.83, 4 Cl 2.86, 4 Fe 2.86
Cl: 0.5000 0.5000 0.0000  2 Cl 2.83, 8 As 2.86

Summary:
Raw formation energy ... 0.551 eV per atom



It is found that the theoretical density values, taken in the order of the records, are 7.2, 7.2, 4.9, 10.6, 3.8, 6.5, 6.1, 9.8, 4.2, 8.6, 6.2, 6.4, 7.6, 5.3, 2.1, 4.3, 4.4, 6.4, 7.3, 6.0, 4.6, 12.1, 6.0, 3.7, 5.7 g cm⁻³.